Below is an optimized crystal structure of Dy7Er2Cd2, with properties calculated at the PBE-GGA level.

Values from the calculation:
- Energy of formation: -1.0 kcal/mol of atoms
- Total magnetic moment: 0.0 μB/f.u.
- Space group: No. 12

Cell: 6.461 6.461 8.424 Å, 102.91 102.91 97.18°
Sites, in units of the cell vectors:
Dy1 0.000 0.000 0.000
Dy2 0.126 0.481 0.826
Dy3 0.139 0.139 0.417
Dy4 0.481 0.126 0.826
Dy5 0.519 0.874 0.174
Dy6 0.861 0.861 0.583
Dy7 0.874 0.519 0.174
Er1 0.318 0.682 0.500
Er2 0.682 0.318 0.500
Cd1 0.380 0.380 0.176
Cd2 0.620 0.620 0.824